(1)
Crystalline Li4CuPb at its relaxed geometry, computed with PBE.

Calculated values
Symmetry = F-43m, No. 216
V = 99 Å³/f.u.
E_tot = -15.39 eV per cell
ΔE_f = 0.011 eV/atom

Cell: 5.1925 5.1925 5.1925 Å, 60.00 60.00 60.00°
Closest atoms and distances in Å follow each position.
Positions (direct):
Li 0.1252 0.1252 0.1252  6 Li 2.59-2.60
Li 0.1252 0.1252 0.6243  6 Li 2.59-2.60
Li 0.1252 0.6243 0.1252  6 Li 2.59-2.60
Li 0.6243 0.1252 0.1252  6 Li 2.59-2.60
Cu 0.5000 0.5000 0.5000  12 Li 3.04, 4 Pb 3.18
Pb 0.7500 0.7500 0.7500  12 Li 3.04, 4 Cu 3.18


(2)
Crystalline LiCu2Pb2 at its relaxed geometry, computed with PBE.

Calculated values
Symmetry = P4/mbm, No. 127
V = 102 Å³/f.u.
E_tot = -34.38 eV per cell
ΔE_f = 0.066 eV/atom
Polymorph energy (0 for the lowest one) = 0.0 meV per atom

Cell: 7.2199 7.2199 3.9093 Å, 90.00 90.00 90.00°
Closest atoms and distances in Å follow each position.
Positions (direct):
Li 0.0000 0.0000 0.0000  4 Cu 2.87
Li 0.5000 0.5000 0.0000  4 Cu 2.87
Cu 0.1220 0.3780 0.0000  1 Cu 2.49
Cu 0.3780 0.8780 0.0000  1 Cu 2.49
Cu 0.6220 0.1220 0.0000  1 Cu 2.49
Cu 0.8780 0.6220 0.0000  1 Cu 2.49
Pb 0.1779 0.6779 0.5000  6 Cu 2.83-2.94
Pb 0.3221 0.1779 0.5000  6 Cu 2.83-2.94
Pb 0.6779 0.8221 0.5000  6 Cu 2.83-2.94
Pb 0.8221 0.3221 0.5000  6 Cu 2.83-2.94


(3)
Crystalline Li5CuPb6 at its relaxed geometry, computed with PBE.

Calculated values
Symmetry = Cmmm, No. 65
V = 271 Å³/f.u.
E_tot = -38.07 eV per cell
ΔE_f = -0.179 eV/atom

Cell: 7.9139 7.9139 7.1733 Å, 90.00 90.00 142.85°
Closest atoms and distances in Å follow each position.
Positions (direct):
Li 0.0000 0.0000 0.0000  8 Pb 3.08-3.15
Li 0.3304 0.6696 0.5000  8 Pb 3.04-3.06
Li 0.3341 0.6659 0.0000  8 Pb 3.13-3.17
Li 0.6659 0.3341 0.0000  8 Pb 3.13-3.17
Li 0.6696 0.3304 0.5000  8 Pb 3.04-3.06
Cu 0.0000 0.0000 0.5000  8 Pb 3.00-3.04
Pb 0.1636 0.8364 0.2603  1 Cu 3.00, 7 Li 3.04-3.17
Pb 0.1636 0.8364 0.7397  1 Cu 3.00, 7 Li 3.04-3.17
Pb 0.5000 0.5000 0.2641  2 Cu 3.04, 6 Li 3.06-3.15, 1 Pb 3.38
Pb 0.5000 0.5000 0.7359  2 Cu 3.04, 6 Li 3.06-3.15, 1 Pb 3.38
Pb 0.8364 0.1636 0.2603  1 Cu 3.00, 7 Li 3.04-3.17
Pb 0.8364 0.1636 0.7397  1 Cu 3.00, 7 Li 3.04-3.17


(4)
Crystalline LiCuPb2 at its relaxed geometry, computed with PBE.

Calculated values
Symmetry = C2/m, No. 12
V = 90 Å³/f.u.
E_tot = -13.25 eV per cell
ΔE_f = 0.044 eV/atom
Polymorph energy (0 for the lowest one) = 46.4 meV per atom

Cell: 4.7630 4.7630 5.9029 Å, 101.37 101.37 43.47°
Closest atoms and distances in Å follow each position.
Positions (direct):
Li 0.0000 0.0000 0.0000  6 Pb 2.88-3.08
Cu 0.5000 0.5000 0.5000  6 Pb 2.86-2.95
Pb 0.2369 0.2369 0.7332  3 Cu 2.86-2.95, 3 Li 2.88-3.08
Pb 0.7631 0.7631 0.2668  3 Cu 2.86-2.95, 3 Li 2.88-3.08


(5)
Crystalline LiCuPb2 at its relaxed geometry, computed with PBE.

Calculated values
Symmetry = F-43m, No. 216
V = 94 Å³/f.u.
E_tot = -12.75 eV per cell
ΔE_f = 0.170 eV/atom
Polymorph energy (0 for the lowest one) = 172.6 meV per atom

Cell: 5.1029 5.1029 5.1029 Å, 60.00 60.00 60.00°
Closest atoms and distances in Å follow each position.
Positions (direct):
Li 0.0000 0.0000 0.0000  4 Pb 3.12, 4 Cu 3.12
Cu 0.7500 0.7500 0.7500  4 Li 3.12, 4 Pb 3.12
Pb 0.2500 0.2500 0.2500  4 Pb 3.12, 4 Li 3.12
Pb 0.5000 0.5000 0.5000  4 Cu 3.12, 4 Pb 3.12


(6)
Crystalline Li2Cu2Pb at its relaxed geometry, computed with PBE.

Calculated values
Symmetry = P4/mbm, No. 127
V = 82 Å³/f.u.
E_tot = -31.78 eV per cell
ΔE_f = -0.032 eV/atom
Polymorph energy (0 for the lowest one) = 0.0 meV per atom

Cell: 7.1946 7.1946 3.1627 Å, 90.00 90.00 90.00°
Closest atoms and distances in Å follow each position.
Positions (direct):
Li 0.1683 0.3317 0.0000  6 Cu 2.64-2.67
Li 0.3317 0.8317 0.0000  6 Cu 2.64-2.67
Li 0.6683 0.1683 0.0000  6 Cu 2.64-2.67
Li 0.8317 0.6683 0.0000  6 Cu 2.64-2.67
Cu 0.1208 0.6208 0.5000  1 Cu 2.46, 6 Li 2.64-2.67
Cu 0.3792 0.1208 0.5000  1 Cu 2.46, 6 Li 2.64-2.67
Cu 0.6208 0.8792 0.5000  1 Cu 2.46, 6 Li 2.64-2.67
Cu 0.8792 0.3792 0.5000  1 Cu 2.46, 6 Li 2.64-2.67
Pb 0.0000 0.0000 0.5000  4 Cu 2.86, 8 Li 3.11, 2 Pb 3.16
Pb 0.5000 0.5000 0.5000  4 Cu 2.86, 8 Li 3.11, 2 Pb 3.16


(7)
Crystalline LiCuPb2 at its relaxed geometry, computed with PBE.

Calculated values
Symmetry = R3m, No. 160
V = 97 Å³/f.u.
E_tot = -13.33 eV per cell
ΔE_f = 0.025 eV/atom
Polymorph energy (0 for the lowest one) = 28.0 meV per atom

Cell: 6.1270 6.1270 6.1270 Å, 42.99 42.99 42.99°
Closest atoms and distances in Å follow each position.
Positions (direct):
Li 0.0000 0.0000 0.0000  1 Cu 2.95, 6 Pb 3.03-3.16
Cu 0.8228 0.8228 0.8228  6 Pb 2.79-2.83, 1 Li 2.95
Pb 0.2243 0.2243 0.2243  3 Cu 2.83, 3 Li 3.16
Pb 0.4269 0.4269 0.4269  3 Cu 2.79, 3 Li 3.03


(8)
Crystalline Li2Cu2Pb at its relaxed geometry, computed with PBE.

Calculated values
Symmetry = I4/mmm, No. 139
V = 89 Å³/f.u.
E_tot = -15.12 eV per cell
ΔE_f = 0.121 eV/atom
Polymorph energy (0 for the lowest one) = 153.3 meV per atom

Cell: 6.3942 6.3942 6.3942 Å, 144.10 144.10 51.68°
Closest atoms and distances in Å follow each position.
Positions (direct):
Li 0.2500 0.7500 0.5000  4 Cu 2.59, 4 Li 2.79
Li 0.7500 0.2500 0.5000  4 Cu 2.59, 4 Li 2.79
Cu 0.1036 0.1036 0.0000  1 Cu 2.38, 4 Li 2.59
Cu 0.8964 0.8964 0.0000  1 Cu 2.38, 4 Li 2.59
Pb 0.5000 0.5000 0.0000  8 Cu 3.03